# 1
VASP calculation (PBE) on crystalline La5NdIr4 at its relaxed geometry.

Lattice parameters (Å, degrees): 4.9101 7.1634 8.1142 91.05 107.61 90.00
Element x y z (fractional)
La1 0.1652 0.0080 0.3304
La2 0.1660 0.5101 0.3321
Ir1 0.6673 0.7527 0.3345
Nd1 0.5000 0.0000 0.0000
La3 0.8348 0.9920 0.6696
La4 0.5000 0.5000 0.0000
Ir2 0.0143 0.2519 0.0287
La5 0.8340 0.4899 0.6679
Ir3 0.9857 0.7481 0.9713
Ir4 0.3327 0.2473 0.6655

Calculated values
V = 271.97 Å³ per cell
symmetry = C2/m, No. 12
calculated formation energy = -0.61 eV/atom

---

# 2
VASP calculation (PBE) on crystalline La3Nd5Ir2 at its relaxed geometry.

Lattice parameters (Å, degrees): 7.1288 10.2794 10.2794 77.77 69.71 69.71
Element x y z (fractional)
La1 0.1821 0.0666 0.5693
Ir1 0.3494 0.0441 0.2572
Nd1 0.9338 0.3607 0.7717
La2 0.7500 0.0000 0.0000
Nd2 0.4832 0.2668 0.2668
La3 0.3179 0.4307 0.9334
Nd3 0.0662 0.6393 0.2283
Ir2 0.6506 0.9559 0.7428
Ir3 0.1506 0.7428 0.9559
Nd4 0.9832 0.2668 0.2668
Ir4 0.8494 0.2572 0.0441
La4 0.8179 0.9334 0.4307
Nd5 0.0168 0.7332 0.7332
Nd6 0.4338 0.7717 0.3607
Nd7 0.5168 0.7332 0.7332
La5 0.2500 0.0000 0.0000
La6 0.6821 0.5693 0.0666
Nd8 0.5662 0.2283 0.6393
Nd9 0.2500 0.5000 0.5000
Nd10 0.7500 0.5000 0.5000

Calculated values
V = 659.09 Å³ per cell
symmetry = Ibam, No. 72
calculated formation energy = -0.20 eV/atom

---

# 3
VASP calculation (PBE) on crystalline LaNdIr4 at its relaxed geometry.

Lattice parameters (Å, degrees): 5.4568 5.4568 5.4568 60.00 60.00 60.00
Element x y z (fractional)
Ir1 0.1253 0.6249 0.6249
La1 0.0000 0.0000 0.0000
Nd1 0.2500 0.2500 0.2500
Ir2 0.6249 0.6249 0.6249
Ir3 0.6249 0.1253 0.6249
Ir4 0.6249 0.6249 0.1253

Calculated values
V = 114.90 Å³ per cell
symmetry = F-43m, No. 216
calculated formation energy = -0.70 eV/atom

---

# 4
VASP calculation (PBE) on crystalline LaNdIr at its relaxed geometry.

Lattice parameters (Å, degrees): 3.9715 6.6709 6.9014 95.59 90.00 107.32
Element x y z (fractional)
Ir1 0.6249 0.2498 0.0498
Nd1 0.0069 0.0138 0.2710
La1 0.7327 0.4653 0.5057
Nd2 0.2860 0.5721 0.0390
Ir2 0.3880 0.7760 0.4895
La2 0.0096 0.0192 0.7742

Calculated values
V = 173.65 Å³ per cell
ΔE to the lowest computed polymorph = 0.04 eV/f.u.
symmetry = Cm, No. 8
calculated formation energy = -0.56 eV/atom

---

# 5
VASP calculation (PBE) on crystalline La3Nd2Ir2 at its relaxed geometry.

Lattice parameters (Å, degrees): 4.0100 6.6151 9.2894 114.88 90.00 107.64
Element x y z (fractional)
La1 0.3846 0.7692 0.5750
Ir1 0.1806 0.3612 0.2469
Nd1 0.8263 0.6527 0.1879
Nd2 0.1737 0.3473 0.8121
La2 0.6154 0.2308 0.4250
La3 0.5000 0.0000 0.0000
Ir2 0.8194 0.6388 0.7531

Calculated values
V = 210.71 Å³ per cell
symmetry = C2/m, No. 12
calculated formation energy = -0.51 eV/atom

---

# 6
VASP calculation (PBE) on crystalline LaNd5Ir4 at its relaxed geometry.

Lattice parameters (Å, degrees): 4.3245 7.7156 9.6605 113.61 102.93 90.00
Element x y z (fractional)
Nd1 0.1655 0.4081 0.3310
Nd2 0.8345 0.0768 0.6689
Nd3 0.8345 0.5919 0.6690
Ir1 0.0000 0.7455 0.0000
Ir2 0.7000 0.2001 0.4001
Ir3 0.0000 0.2545 0.0000
La1 0.5000 0.0000 0.0000
Ir4 0.3000 0.7999 0.5999
Nd4 0.5000 0.5000 0.0000
Nd5 0.1655 0.9232 0.3311

Calculated values
V = 286.40 Å³ per cell
symmetry = C2/m, No. 12
calculated formation energy = -0.55 eV/atom

---

Please write out number 5 again, unchanged.
VASP calculation (PBE) on crystalline La3Nd2Ir2 at its relaxed geometry.

Lattice parameters (Å, degrees): 4.0100 6.6151 9.2894 114.88 90.00 107.64
Element x y z (fractional)
La1 0.3846 0.7692 0.5750
Ir1 0.1806 0.3612 0.2469
Nd1 0.8263 0.6527 0.1879
Nd2 0.1737 0.3473 0.8121
La2 0.6154 0.2308 0.4250
La3 0.5000 0.0000 0.0000
Ir2 0.8194 0.6388 0.7531

Calculated values
V = 210.71 Å³ per cell
symmetry = C2/m, No. 12
calculated formation energy = -0.51 eV/atom